Here is a crystal of Cd2Ni relaxed with PBEsol from Alexandria. Energies are from SCAN.

```
Cd2Ni
1.0
-5.6036 -2.9670 5.2885
2.3752 -4.8709 6.2294
-0.2452 2.8077 7.7607
Ni Cd
8 16
Cartesian
-3.3609 -3.1014 9.8001
-2.9030 -4.2039 16.1120
-0.6243 -3.7544 10.1228
-2.8189 -5.1669 13.4502
-0.9811 -3.1863 14.2981
-1.5230 -1.1208 10.6480
-3.7177 -2.5333 13.9754
-1.4390 -2.0838 7.9862
-2.3281 -1.4281 3.1773
-2.1710 -3.1439 12.0491
0.6308 -1.6604 9.4049
-4.2966 -1.0486 11.7620
-4.1440 -2.7964 6.9309
0.5913 -1.0869 6.4620
0.8230 -3.9816 7.5166
-0.3053 0.7517 4.1105
-3.3586 -0.7084 8.9344
-2.0484 -4.5477 8.1687
-2.4206 -0.3683 6.1068
-1.4315 -3.2668 5.5288
0.6704 -2.2338 12.3477
0.6838 -2.1468 3.5324
-0.8083 0.7984 8.4698
-2.6653 -5.8286 10.8087
```

Summary:
- Fermi-level density of states (states/eV/cell) = 13.9
- formation energy (meV per atom) = 55